Here is an optimized crystal structure of InTe2Ir from Alexandria via LeMat-Bulk. Energies are from PBE-GGA.

```
InTe2Ir
1.0
-3.883 -0.474 -1.348
3.446 -6.175 -1.366
-1.920 -2.488 6.406
In Te Ir
2 4 2
Direct
0.987 0.970 0.250
0.013 0.030 0.750
0.345 0.688 0.506
0.655 0.312 0.494
0.345 0.688 0.994
0.655 0.312 0.006
0.813 0.624 0.750
0.187 0.376 0.250
```

Summary:
DFT total energy (eV/cell): -36.23
Space-group type: P2_1/m (11)

=====

Here is an optimized crystal structure of InTeIr2 from Alexandria via LeMat-Bulk. Energies are from PBE-GGA.

```
InTeIr2
1.0
-2.461 3.471 -1.747
-4.370 1.432 -0.126
-0.177 3.505 4.200
In Ir Te
1 2 1
Direct
0.750 0.750 0.750
0.001 0.001 0.012
0.499 0.499 0.488
0.250 0.250 0.250
```

Summary:
DFT total energy (eV/cell): -22.41
Space-group type: C2/m (12)
Energy relative to the lowest polymorph listed for this composition (eV per atom): 0.0943

=====

Here is an optimized crystal structure of InTe2Ir from Alexandria via LeMat-Bulk. Energies are from PBE-GGA.

```
InTe2Ir
1.0
6.905 0.023 -0.002
4.410 5.314 0.002
-5.472 -3.062 2.892
In Ir Te
1 1 2
Direct
0.250 0.750 0.500
0.750 0.250 0.500
0.906 0.906 0.000
0.594 0.594 0.000
```

Summary:
DFT total energy (eV/cell): -18.06
Space-group type: Immm (71)

=====

Short version: spin magnetization = 0.000; 0.000; 0.000 μB per atom, in the order given.
Short version: raw formation energy = -58; 297; -45 meV/atom, in the order given.
Short version: theoretical density = 9.174; 14.027; 8.821 Mg/m³, in the order given.